Entry 1:
Density functional theory data (PBE) for BaFeSi2 after structural relaxation.

**Density**: 4.69 g cm⁻³
**Raw formation energy**: 0.0012 eV per atom
**Calculated volume**: 88.2 Å³/cell
**DOS(E_F)**: 4.05 states/eV per cell
**Crystal system**: orthorhombic

abc: 3.5958 3.8098 6.4404
angles: 90.03 90.00 90.00
Last column: nearest neighbours and their distance in Å.
Element x y z (fractional)
Ba 0.0000 0.6252 0.4669  6 Si 3.26-3.47, 2 Ba 3.60, 2 Fe 3.60
Fe 0.5000 0.6248 0.9520  2 Si 2.35
Si 0.0000 0.1249 0.9167  2 Si 2.40, 4 Fe 2.63
Si 0.5000 0.1250 0.1644  2 Fe 2.35, 2 Si 2.40

Entry 2:
Density functional theory data (PBE) for TlTcSe3 after structural relaxation.

**Density**: 7.23 g cm⁻³
**Raw formation energy**: 0.0801 eV per atom
**Energy above the lowest structure with this stoichiometry**: 0.0 meV per atom
**Calculated volume**: 123.9 Å³/cell
**DOS(E_F)**: 5.91 states/eV per cell
**Crystal system**: cubic

abc: 4.9852 4.9852 4.9852
angles: 90.00 90.00 90.00
Last column: nearest neighbours and their distance in Å.
Element x y z (fractional)
Tl 0.5000 0.5000 0.5000  12 Se 3.53
Tc 0.0000 0.0000 0.0000  6 Se 2.49
Se 0.0000 0.5000 0.0000  2 Tc 2.49
Se 0.0000 0.0000 0.5000  2 Tc 2.49
Se 0.5000 0.0000 0.0000  2 Tc 2.49

Entry 3:
Density functional theory data (PBE) for GeBiI after structural relaxation.

**Density**: 6.02 g cm⁻³
**Raw formation energy**: 0.0207 eV per atom
**Energy above the lowest structure with this stoichiometry**: 123.4 meV per atom
**Calculated volume**: 338.0 Å³/cell
**Crystal system**: trigonal

abc: 7.5791 7.5791 8.0815
angles: 62.04 62.04 60.00
Last column: nearest neighbours and their distance in Å.
Element x y z (fractional)
Bi 0.1572 0.1572 0.5283  3 Ge 2.95
Bi 0.3638 0.3638 0.9085  3 Ge 2.83
Bi 0.6963 0.6963 0.9112  3 Ge 2.83
Ge 0.7430 0.4582 0.6988  1 I 2.69, 3 Bi 2.83-2.95
Ge 0.1000 0.7430 0.6988  1 I 2.69, 3 Bi 2.83-2.95
Ge 0.4582 0.1000 0.6988  1 I 2.69, 3 Bi 2.83-2.95
I 0.6556 0.7661 0.3697  1 Ge 2.69
I 0.7661 0.2085 0.3697  1 Ge 2.69
I 0.2085 0.6556 0.3697  1 Ge 2.69